[1]
In2IrAu | PBEsol | optimized geometry

Calculated values
raw total energy	-19.89	eV/cell
SG	I-4m2, No. 119

abc: 5.271 5.271 5.271
angles: 135.66 135.66 64.51
Fractional coordinates of all 4 atoms:
1 In 0.000 0.000 0.000
2 In 0.750 0.250 0.500
3 Ir 0.500 0.500 0.000
4 Au 0.250 0.750 0.500


[2]
InIr2Au | PBEsol | optimized geometry

Calculated values
raw total energy	-25.09	eV/cell
SG	Cmmm, No. 65

abc: 2.836 2.836 9.192
angles: 90.00 90.00 118.70
Fractional coordinates of all 4 atoms:
1 In 0.000 0.000 0.000
2 Ir 0.500 0.500 0.245
3 Ir 0.500 0.500 0.755
4 Au 0.000 0.000 0.500


[3]
InIrAu | PBEsol | optimized geometry

Calculated values
offset from the most stable computed form	0	meV/atom
SG	F-43m, No. 216

abc: 4.386 4.386 4.386
angles: 60.00 60.00 60.00
Fractional coordinates of all 3 atoms:
1 In 0.000 0.000 0.000
2 Ir 0.750 0.750 0.750
3 Au 0.500 0.500 0.500


[4]
InIr2Au | PBEsol | optimized geometry

Calculated values
raw total energy	-25.93	eV/cell
SG	C2/m, No. 12

abc: 4.817 4.817 4.911
angles: 101.17 101.17 34.90
Fractional coordinates of all 4 atoms:
1 In 0.000 0.000 0.000
2 Ir 0.254 0.254 0.744
3 Ir 0.746 0.746 0.256
4 Au 0.500 0.500 0.500


[5]
KInAu | PBEsol | optimized geometry

Calculated values
raw total energy	-8.53	eV/cell
SG	P-6m2, No. 187

abc: 4.712 4.712 4.653
angles: 90.00 90.00 120.00
Fractional coordinates of all 3 atoms:
1 K 0.000 0.000 0.000
2 In 0.667 0.333 0.500
3 Au 0.333 0.667 0.500


[6]
KIn6Au4 | PBEsol | optimized geometry

Calculated values
raw total energy	-37.83	eV/cell
SG	P-6m2, No. 187

abc: 8.067 8.067 4.408
angles: 90.00 90.00 120.00
Fractional coordinates of all 11 atoms:
1 K 0.000 0.000 0.000
2 In 0.068 0.534 0.000
3 In 0.390 0.195 0.500
4 In 0.466 0.534 0.000
5 In 0.466 0.932 0.000
6 In 0.805 0.195 0.500
7 In 0.805 0.610 0.500
8 Au 0.206 0.411 0.500
9 Au 0.206 0.794 0.500
10 Au 0.589 0.794 0.500
11 Au 0.667 0.333 0.000


no.,volume (Å³ per atom)
1,17.63
2,16.21
3,19.89
4,15.96
5,29.83
6,22.58